A geometry-optimized Li5Pb structure, computed with PBE-GGA.

Unit cell a=8.2409 b=4.7483 c=5.7320 alpha=90.00 beta=90.13 gamma=90.00
Space group C2/m (No. 12)
Asymmetric unit:
Li: 0.0000 0.0000 0.0000 [2 per cell]
Li: 0.1666 0.5000 0.3035 [4 per cell]
Li: 0.1665 0.5000 0.7708 [4 per cell]
Pb: 0.0000 0.0000 0.5000 [2 per cell]

Computed properties:
Raw total energy = -29.3 eV per cell
ΔH_f (0 K) = -0.23 eV per atom